No. 1
This record from Alexandria describes a relaxed structure of TbGdCdSi. The functional is PBE.

a b c (Å): 5.1385 5.1385 5.1385
angles (deg): 60.00 60.00 60.00
Atoms (fractional coordinates):
Si 0.7500 0.7500 0.7500
Gd 0.5000 0.5000 0.5000
Tb 0.0000 0.0000 0.0000
Cd 0.2500 0.2500 0.2500

Size of the total moment: 7.30 μB per cell
Energy: -6.66 eV per atom
Symmetry: No. 216

---

No. 2
This record from Alexandria describes a relaxed structure of SrCoTe2. The functional is PBE.

a b c (Å): 7.8521 7.8521 6.6233
angles (deg): 53.65 53.65 90.00
Atoms (fractional coordinates):
Sr 0.0000 0.0000 0.0000
Sr 0.7500 0.2500 0.5000
Te 0.5324 0.1250 0.2500
Te 0.2176 0.6250 0.2500
Te 0.3750 0.4676 0.7500
Te 0.8750 0.7824 0.7500
Co 0.5000 0.5000 0.0000
Co 0.2500 0.7500 0.5000

Size of the total moment: 1.99 μB per cell
Energy: -4.43 eV per atom
Symmetry: No. 122

---

No. 3
This record from Alexandria describes a relaxed structure of YErV. The functional is PBE.

a b c (Å): 5.2635 6.0892 6.5716
angles (deg): 122.66 90.00 115.61
Atoms (fractional coordinates):
V 0.6611 0.3223 0.7874
V 0.2587 0.5174 0.8825
Er 0.9598 0.9196 0.3342
Er 0.5975 0.1951 0.2245
Y 0.9598 0.9195 0.8353
Y 0.3197 0.6394 0.4428

Size of the total moment: 4.64 μB per cell
Energy: -6.33 eV per atom
Energy of formation: 8.850 kcal/mol of atoms
Symmetry: No. 8

---

No. 4
This record from Alexandria describes a relaxed structure of Pa4Ga2Co. The functional is PBE.

a b c (Å): 4.7695 4.7695 8.5272
angles (deg): 106.24 106.24 90.00
Atoms (fractional coordinates):
Pa 0.8183 0.8183 0.6366
Pa 0.1817 0.1817 0.3634
Pa 0.0000 0.5000 0.0000
Pa 0.5000 0.0000 0.0000
Ga 0.3684 0.3684 0.7369
Ga 0.6316 0.6316 0.2631
Co 0.0000 0.0000 0.0000

Size of the total moment: 2.12 μB per cell
Energy: -7.15 eV per atom
Energy of formation: 3.488 kcal/mol of atoms
Symmetry: No. 139

---

No. 5
This record from Alexandria describes a relaxed structure of Pa2S4Cl. The functional is PBE.

a b c (Å): 8.4646 8.4651 8.4669
angles (deg): 131.34 125.34 76.16
Atoms (fractional coordinates):
Pa 0.5721 0.2017 0.6297
Pa 0.6779 0.8077 0.1297
Pa 0.6251 0.4159 0.2908
Pa 0.1250 0.4158 0.7908
S 0.8730 0.1378 0.2651
S 0.4816 0.7509 0.2690
S 0.7681 0.5373 0.7690
S 0.9051 0.0855 0.6407
S 0.4449 0.0858 0.1807
S 0.3774 0.1421 0.7652
S 0.3449 0.4858 0.6807
S 0.8052 0.4857 0.1407
Cl 0.9912 0.7153 0.7239
Cl 0.2586 0.4828 0.2239

Size of the total moment: 2.16 μB per cell
Energy: -6.95 eV per atom
Symmetry: No. 46

---

No. 6
This record from Alexandria describes a relaxed structure of Tl5Ir3. The functional is PBE.

a b c (Å): 8.2541 8.2547 7.4875
angles (deg): 94.08 94.08 136.01
Atoms (fractional coordinates):
Tl 0.2449 0.7452 0.4755
Tl 0.7551 0.2556 0.5245
Tl 0.9001 0.1855 0.1358
Tl 0.0999 0.8153 0.8642
Tl 0.4798 0.3477 0.6999
Tl 0.5201 0.6531 0.3001
Tl 0.6853 0.4007 0.1357
Tl 0.3147 0.6001 0.8643
Tl 0.8471 0.9802 0.6999
Tl 0.1529 0.0206 0.3001
Ir 0.2471 0.2532 0.0000
Ir 0.7529 0.7476 0.0000
Ir 0.8420 0.6585 0.5000
Ir 0.1580 0.3423 0.5000
Ir 0.4434 0.9439 0.1713
Ir 0.5567 0.0569 0.8287

Size of the total moment: 0.00 μB per cell
Energy: -4.37 eV per atom
Energy of formation: 9.985 kcal/mol of atoms
Symmetry: No. 12

---

No. 7
This record from Alexandria describes a relaxed structure of BeTlInI4. The functional is PBE.

a b c (Å): 7.5662 7.8926 9.8745
angles (deg): 90.00 108.76 90.00
Atoms (fractional coordinates):
Be 0.2059 0.7500 0.2913
Be 0.7941 0.2500 0.7087
Tl 0.7366 0.7500 0.9263
Tl 0.2634 0.2500 0.0737
In 0.7734 0.7500 0.4541
In 0.2266 0.2500 0.5459
I 0.9999 0.4945 0.7694
I 0.0001 0.9945 0.2306
I 0.0001 0.5055 0.2306
I 0.9999 0.0055 0.7694
I 0.4125 0.7500 0.1473
I 0.5875 0.2500 0.8527
I 0.3741 0.7500 0.5459
I 0.6259 0.2500 0.4541

Size of the total moment: 0.00 μB per cell
Energy: -2.71 eV per atom
Symmetry: No. 11

---

No. 8
This record from Alexandria describes a relaxed structure of NdEr3Ni2. The functional is PBE.

a b c (Å): 4.0310 8.2123 9.8642
angles (deg): 87.90 78.21 75.79
Atoms (fractional coordinates):
Nd 0.3916 0.4767 0.7402
Nd 0.6084 0.5233 0.2598
Er 0.0507 0.1012 0.7974
Er 0.9493 0.8988 0.2026
Er 0.6468 0.7756 0.9307
Er 0.3532 0.2244 0.0693
Er 0.8098 0.8192 0.5612
Er 0.1902 0.1808 0.4388
Ni 0.8116 0.4220 0.9549
Ni 0.1884 0.5780 0.0451
Ni 0.6133 0.1515 0.6220
Ni 0.3867 0.8485 0.3780

Size of the total moment: 0.00 μB per cell
Energy: -5.23 eV per atom
Energy of formation: -5.246 kcal/mol of atoms
Symmetry: No. 12